[1]
First-principles (PBE+U) data for a relaxed structure of K3MoF8, as listed in Alexandria.

Unit cell a=5.833 b=5.833 c=5.833 alpha=90.00 beta=90.00 gamma=90.00
Positions (direct):
K (0.500, 0.500, 0.000)
K (0.500, 0.000, 0.500)
K (0.000, 0.500, 0.500)
Mo (0.000, 0.000, 0.000)
F (0.205, 0.205, 0.795)
F (0.205, 0.795, 0.205)
F (0.795, 0.205, 0.205)
F (0.795, 0.795, 0.795)
F (0.795, 0.795, 0.205)
F (0.795, 0.205, 0.795)
F (0.205, 0.795, 0.795)
F (0.205, 0.205, 0.205)

Results
Total magnetization (μB per atom): 0.083
Density (g/cm3): 3.06
E (eV/atom): -4.6780
Density of states at the Fermi level (states/eV/atom): 0.580

=====

[2]
First-principles (PBE+U) data for a relaxed structure of KMoN2F, as listed in Alexandria.

Unit cell a=3.995 b=3.995 c=4.422 alpha=90.00 beta=90.00 gamma=90.00
Positions (direct):
Mo (0.000, 0.000, 0.000)
N (0.000, 0.500, 0.000)
N (0.500, 0.000, 0.000)
K (0.500, 0.500, 0.500)
F (0.000, 0.000, 0.500)

Results
Total magnetization (μB per atom): 0.101
Density (g/cm3): 4.28
E (eV/atom): -5.8390
Density of states at the Fermi level (states/eV/atom): 0.256

=====

[3]
First-principles (PBE+U) data for a relaxed structure of KMoN2F, as listed in Alexandria.

Unit cell a=4.933 b=4.933 c=4.539 alpha=90.00 beta=90.00 gamma=90.00
Positions (direct):
Mo (0.500, 0.500, 0.500)
N (0.000, 0.500, 0.000)
N (0.500, 0.000, 0.000)
K (0.000, 0.000, 0.000)
F (0.000, 0.000, 0.500)

Results
Total magnetization (μB per atom): 0.000
Density (g/cm3): 2.74
E (eV/atom): -3.7635
Density of states at the Fermi level (states/eV/atom): 0.259